1.
Compound: Nd5Cd2In
Source: Alexandria via LeMat-Bulk
Functional: PBE
Structure: optimized geometry

Values from the calculation:
- Symmetry: I4mm, No. 107

```
data_Nd5Cd2In
_cell_length_a 6.781
_cell_length_b 6.781
_cell_length_c 6.781
_cell_angle_alpha 108.02
_cell_angle_beta 108.02
_cell_angle_gamma 112.41
_space_group_name_H-M_alt 'P 1'
_space_group_IT_number 1
loop_
_space_group_symop_operation_xyz
'x,y,z'
loop_
_atom_site_label
_atom_site_fract_x
_atom_site_fract_y
_atom_site_fract_z
Nd1 0.278 0.778 0.000
Nd2 0.778 0.778 0.500
Nd3 0.778 0.278 0.000
Nd4 0.278 0.278 0.500
Nd5 0.278 0.277 0.000
Cd1 0.778 0.278 0.500
Cd2 0.278 0.778 0.500
In1 0.778 0.778 0.000
```

2.
Compound: Nd2Cd3In2
Source: Alexandria via LeMat-Bulk
Functional: PBE
Structure: optimized geometry

Values from the calculation:
- Symmetry: C2/m, No. 12

```
data_Nd2Cd3In2
_cell_length_a 4.811
_cell_length_b 6.197
_cell_length_c 7.220
_cell_angle_alpha 109.81
_cell_angle_beta 90.00
_cell_angle_gamma 112.84
_space_group_name_H-M_alt 'P 1'
_space_group_IT_number 1
loop_
_space_group_symop_operation_xyz
'x,y,z'
loop_
_atom_site_label
_atom_site_fract_x
_atom_site_fract_y
_atom_site_fract_z
Cd1 0.598 0.196 0.429
Cd2 0.500 0.000 0.000
Cd3 0.402 0.804 0.571
Nd1 0.849 0.697 0.236
Nd2 0.151 0.303 0.764
In1 0.850 0.700 0.765
In2 0.150 0.300 0.235
```

3.
Compound: Nd5CdIn2
Source: Alexandria via LeMat-Bulk
Functional: PBE
Structure: optimized geometry

Values from the calculation:
- Symmetry: I4/mmm, No. 139

```
data_Nd5CdIn2
_cell_length_a 5.632
_cell_length_b 5.632
_cell_length_c 8.600
_cell_angle_alpha 109.11
_cell_angle_beta 109.11
_cell_angle_gamma 90.00
_space_group_name_H-M_alt 'P 1'
_space_group_IT_number 1
loop_
_space_group_symop_operation_xyz
'x,y,z'
loop_
_atom_site_label
_atom_site_fract_x
_atom_site_fract_y
_atom_site_fract_z
Nd1 0.129 0.629 0.259
Nd2 0.500 0.500 0.000
Nd3 0.871 0.371 0.741
Nd4 0.371 0.871 0.741
Nd5 0.629 0.129 0.259
In1 0.747 0.747 0.494
In2 0.253 0.253 0.506
Cd1 0.000 0.000 0.000
```

| no. | ΔE_f (eV per atom) |
| --- | --- |
| 1 | -0.234 |
| 2 | -0.354 |
| 3 | -0.259 |